Entry 1:
SrSi2As: relaxed, PBE.

Properties
- Symmetry: No. 71
- Uncorrected formation energy: 0.05 eV per atom

Unit cell a=5.748 b=5.748 c=5.748 alpha=144.47 beta=126.14 gamma=66.20
Atoms (fractional coordinates):
As 0.250 0.750 0.500
Si 0.043 0.043 0.000
Si 0.457 0.457 0.000
Sr 0.750 0.250 0.500

Entry 2:
Mn2InAu: relaxed, PBE.

Properties
- Energy of formation from the pure elements: 0.12 eV per atom
- Symmetry: No. 10

Unit cell a=3.867 b=3.022 c=6.617 alpha=62.91 beta=90.00 gamma=90.00
Each line ends with the local moment (μB).
Atoms (fractional coordinates):
Au 0.500 0.250 0.250  0.04
In 0.500 0.750 0.750  -0.13
Mn 0.000 0.991 0.010  3.61
Mn 0.000 0.509 0.490  3.61